Run P
{
  "formula": "KTcP2",
  "functional": "GGA-PBEsol",
  "state": "optimized geometry",
  "lattice_angstrom": [[3.779, -3.791, 0.000], [3.779, 3.791, 0.000], [-0.356, 0.000, 2.474]],
  "species": ["K", "Tc", "P", "P"],
  "fractional_positions": [[0.000, 0.000, 0.000], [0.500, 0.500, 0.000], [0.000, 0.500, 0.000], [0.500, 0.000, 0.000]],
  "density_g_cm3": 4.66,
  "n_ef_per_ev_fu": 3.0
}

Run Q
{
  "formula": "KTcP2",
  "functional": "GGA-PBEsol",
  "state": "optimized geometry",
  "lattice_angstrom": [[-2.025, 3.110, 3.655], [2.025, -3.110, 3.655], [2.025, 3.110, -3.655]],
  "species": ["K", "Tc", "P", "P"],
  "fractional_positions": [[0.000, 0.000, 0.000], [0.500, 0.500, 0.000], [0.348, 0.848, 0.500], [0.652, 0.152, 0.500]],
  "density_g_cm3": 3.59,
  "n_ef_per_ev_fu": 3.3
}

Run R
{
  "formula": "KTcP2",
  "functional": "GGA-PBEsol",
  "state": "optimized geometry",
  "lattice_angstrom": [[0.000, 3.177, 3.177], [3.177, 0.000, 3.177], [3.177, 3.177, 0.000]],
  "species": ["K", "Tc", "P", "P"],
  "fractional_positions": [[0.000, 0.000, 0.000], [0.250, 0.250, 0.250], [0.500, 0.500, 0.500], [0.750, 0.750, 0.750]],
  "density_g_cm3": 5.16,
  "n_ef_per_ev_fu": 3.9
}

Run S
{
  "formula": "KTcP2",
  "functional": "GGA-PBEsol",
  "state": "optimized geometry",
  "lattice_angstrom": [[2.952, 0.000, 0.000], [0.000, 2.952, 0.000], [0.000, 0.000, 7.756]],
  "species": ["K", "Tc", "P", "P"],
  "fractional_positions": [[0.000, 0.000, 0.000], [0.000, 0.000, 0.500], [0.500, 0.500, 0.318], [0.500, 0.500, 0.682]],
  "density_g_cm3": 4.89,
  "n_ef_per_ev_fu": 0.4
}

Most stable structure: run S

Run P
{
  "formula": "K2TlP",
  "functional": "GGA-PBEsol",
  "state": "optimized geometry",
  "lattice_angstrom": [[-2.025, 2.749, 5.600], [2.025, -2.749, 5.600], [2.025, 2.749, -5.600]],
  "species": ["K", "K", "Tl", "P"],
  "fractional_positions": [[0.000, 0.000, 0.000], [0.679, 0.179, 0.500], [0.388, 0.388, 0.000], [0.233, 0.733, 0.500]],
  "density_g_cm3": 4.17,
  "n_ef_per_ev_fu": 0.6
}

Run Q
{
  "formula": "K2TlP",
  "functional": "GGA-PBEsol",
  "state": "optimized geometry",
  "lattice_angstrom": [[5.249, -1.629, 0.000], [5.249, 1.629, 0.000], [-0.739, 0.000, 6.958]],
  "species": ["K", "K", "Tl", "P"],
  "fractional_positions": [[0.238, 0.238, 0.212], [0.762, 0.762, 0.788], [0.000, 0.000, 0.500], [0.500, 0.500, 0.000]],
  "density_g_cm3": 4.38,
  "n_ef_per_ev_fu": 1.4
}

Most stable structure: run P

Run P
{
  "formula": "K2TlP",
  "functional": "GGA-PBEsol",
  "state": "optimized geometry",
  "lattice_angstrom": [[1.757, 1.015, 11.141], [-1.757, 1.015, 11.141], [0.000, -2.029, 11.141]],
  "species": ["K", "K", "Tl", "P"],
  "fractional_positions": [[0.238, 0.238, 0.238], [0.762, 0.762, 0.762], [0.000, 0.000, 0.000], [0.500, 0.500, 0.500]],
  "density_g_cm3": 4.37,
  "n_ef_per_ev_fu": 1.6
}

Run Q
{
  "formula": "K2TlP",
  "functional": "GGA-PBEsol",
  "state": "optimized geometry",
  "lattice_angstrom": [[5.080, 0.000, 0.000], [0.000, 4.176, 0.000], [-2.527, 0.000, 6.241]],
  "species": ["K", "K", "Tl", "P"],
  "fractional_positions": [[0.000, 0.000, 0.000], [0.303, 0.500, 0.605], [0.701, 0.000, 0.401], [0.567, 0.500, 0.137]],
  "density_g_cm3": 3.93,
  "n_ef_per_ev_fu": 0.5
}

Most stable structure: run Q

Run P
{
  "formula": "KSb2Pb2",
  "functional": "GGA-PBEsol",
  "state": "optimized geometry",
  "lattice_angstrom": [[8.960, 0.000, 0.000], [0.000, 8.960, 0.000], [0.000, 0.000, 3.922]],
  "species": ["K", "K", "Sb", "Sb", "Sb", "Sb", "Pb", "Pb", "Pb", "Pb"],
  "fractional_positions": [[0.000, 0.000, 0.000], [0.500, 0.500, 0.000], [0.156, 0.344, 0.500], [0.344, 0.844, 0.500], [0.656, 0.156, 0.500], [0.844, 0.656, 0.500], [0.130, 0.630, 0.000], [0.370, 0.130, 0.000], [0.630, 0.870, 0.000], [0.870, 0.370, 0.000]],
  "density_g_cm3": 7.35,
  "n_ef_per_ev_fu": 2.2
}

Run Q
{
  "formula": "KSb2Pb2",
  "functional": "GGA-PBEsol",
  "state": "optimized geometry",
  "lattice_angstrom": [[-2.797, 2.797, 5.696], [2.797, -2.797, 5.696], [2.797, 2.797, -5.696]],
  "species": ["K", "Sb", "Sb", "Pb", "Pb"],
  "fractional_positions": [[0.000, 0.000, 0.000], [0.250, 0.750, 0.500], [0.750, 0.250, 0.500], [0.361, 0.361, 0.000], [0.639, 0.639, 0.000]],
  "density_g_cm3": 6.49,
  "n_ef_per_ev_fu": 3.5
}

Most stable structure: run P

Run P
{
  "formula": "K2SbPb",
  "functional": "GGA-PBEsol",
  "state": "optimized geometry",
  "lattice_angstrom": [[-2.667, 2.667, 4.656], [2.667, -2.667, 4.656], [2.667, 2.667, -4.656]],
  "species": ["K", "K", "Sb", "Pb"],
  "fractional_positions": [[0.000, 0.000, 0.000], [0.750, 0.250, 0.500], [0.250, 0.750, 0.500], [0.500, 0.500, 0.000]],
  "density_g_cm3": 5.10,
  "n_ef_per_ev_fu": 1.7
}

Run Q
{
  "formula": "K2SbPb",
  "functional": "GGA-PBEsol",
  "state": "optimized geometry",
  "lattice_angstrom": [[-2.213, 2.880, 5.594], [2.213, -2.880, 5.594], [2.213, 2.880, -5.594]],
  "species": ["K", "K", "Sb", "Pb"],
  "fractional_positions": [[0.000, 0.000, 0.000], [0.709, 0.209, 0.500], [0.446, 0.446, 0.000], [0.273, 0.773, 0.500]],
  "density_g_cm3": 4.74,
  "n_ef_per_ev_fu": 1.8
}

Most stable structure: run Q

Run P
{
  "formula": "K2SiPb",
  "functional": "GGA-PBEsol",
  "state": "optimized geometry",
  "lattice_angstrom": [[2.218, 1.281, 9.400], [-2.218, 1.281, 9.400], [0.000, -2.562, 9.400]],
  "species": ["K", "K", "Si", "Pb"],
  "fractional_positions": [[0.000, 0.000, 0.000], [0.189, 0.189, 0.189], [0.738, 0.738, 0.738], [0.441, 0.441, 0.441]],
  "density_g_cm3": 3.25,
  "n_ef_per_ev_fu": 0.9
}

Run Q
{
  "formula": "K2SiPb",
  "functional": "GGA-PBEsol",
  "state": "optimized geometry",
  "lattice_angstrom": [[-2.262, 2.262, 5.553], [2.262, -2.262, 5.553], [2.262, 2.262, -5.553]],
  "species": ["K", "K", "Si", "Pb"],
  "fractional_positions": [[0.250, 0.750, 0.500], [0.750, 0.250, 0.500], [0.000, 0.000, 0.000], [0.500, 0.500, 0.000]],
  "density_g_cm3": 4.58,
  "n_ef_per_ev_fu": 3.3
}

Most stable structure: run P

Run P
{
  "formula": "KSn2Pb2",
  "functional": "GGA-PBEsol",
  "state": "optimized geometry",
  "lattice_angstrom": [[-2.505, 2.505, 6.833], [2.505, -2.505, 6.833], [2.505, 2.505, -6.833]],
  "species": ["K", "Sn", "Sn", "Pb", "Pb"],
  "fractional_positions": [[0.000, 0.000, 0.000], [0.250, 0.750, 0.500], [0.750, 0.250, 0.500], [0.382, 0.382, 0.000], [0.618, 0.618, 0.000]],
  "density_g_cm3": 6.69,
  "n_ef_per_ev_fu": 1.9
}

Run Q
{
  "formula": "KSn2Pb2",
  "functional": "GGA-PBEsol",
  "state": "optimized geometry",
  "lattice_angstrom": [[9.230, 0.000, 0.000], [0.000, 9.230, 0.000], [0.000, 0.000, 3.634]],
  "species": ["K", "K", "Sn", "Sn", "Sn", "Sn", "Pb", "Pb", "Pb", "Pb"],
  "fractional_positions": [[0.000, 0.000, 0.000], [0.500, 0.500, 0.000], [0.154, 0.346, 0.500], [0.346, 0.846, 0.500], [0.654, 0.154, 0.500], [0.846, 0.654, 0.500], [0.136, 0.636, 0.000], [0.364, 0.136, 0.000], [0.636, 0.864, 0.000], [0.864, 0.364, 0.000]],
  "density_g_cm3": 7.41,
  "n_ef_per_ev_fu": 2.6
}

Most stable structure: run P

Run P
{
  "formula": "KTlPb",
  "functional": "GGA-PBEsol",
  "state": "optimized geometry",
  "lattice_angstrom": [[5.549, 0.000, 0.000], [-2.774, 4.805, 0.000], [0.000, 0.000, 3.497]],
  "species": ["K", "Tl", "Pb"],
  "fractional_positions": [[0.000, 0.000, 0.000], [0.333, 0.667, 0.569], [0.667, 0.333, 0.441]],
  "density_g_cm3": 8.03,
  "n_ef_per_ev_fu": 1.1
}

Run Q
{
  "formula": "KTlPb",
  "functional": "GGA-PBEsol",
  "state": "optimized geometry",
  "lattice_angstrom": [[4.889, 0.000, 0.000], [0.000, 4.889, 0.000], [0.000, 0.000, 8.700]],
  "species": ["K", "K", "Tl", "Tl", "Pb", "Pb"],
  "fractional_positions": [[0.250, 0.250, 0.164], [0.750, 0.750, 0.836], [0.250, 0.250, 0.741], [0.750, 0.750, 0.259], [0.250, 0.750, 0.500], [0.750, 0.250, 0.500]],
  "density_g_cm3": 7.20,
  "n_ef_per_ev_fu": 0.8
}

Most stable structure: run Q

Run P
{
  "formula": "KTlPb2",
  "functional": "GGA-PBEsol",
  "state": "optimized geometry",
  "lattice_angstrom": [[3.401, -5.214, 0.000], [3.401, 5.214, 0.000], [0.000, 0.000, 3.420]],
  "species": ["K", "Tl", "Pb", "Pb"],
  "fractional_positions": [[0.000, 0.000, 0.000], [0.500, 0.500, 0.000], [0.000, 0.500, 0.500], [0.500, 0.000, 0.500]],
  "density_g_cm3": 9.01,
  "n_ef_per_ev_fu": 2.3
}

Run Q
{
  "formula": "KTlPb2",
  "functional": "GGA-PBEsol",
  "state": "optimized geometry",
  "lattice_angstrom": [[3.413, 0.000, 0.000], [0.000, 5.617, 0.000], [-1.180, 0.000, 6.728]],
  "species": ["K", "Tl", "Pb", "Pb"],
  "fractional_positions": [[0.000, 0.000, 0.000], [0.500, 0.000, 0.500], [0.311, 0.500, 0.709], [0.689, 0.500, 0.291]],
  "density_g_cm3": 8.47,
  "n_ef_per_ev_fu": 2.0
}

Most stable structure: run Q

Run P
{
  "formula": "KTlPb2",
  "functional": "GGA-PBEsol",
  "state": "optimized geometry",
  "lattice_angstrom": [[3.753, 0.000, 0.000], [0.000, 4.416, 0.000], [0.000, 0.000, 7.702]],
  "species": ["K", "Tl", "Pb", "Pb"],
  "fractional_positions": [[0.000, 0.000, 0.000], [0.000, 0.000, 0.500], [0.500, 0.500, 0.299], [0.500, 0.500, 0.701]],
  "density_g_cm3": 8.56,
  "n_ef_per_ev_fu": 1.8
}

Run Q
{
  "formula": "KTlPb2",
  "functional": "GGA-PBEsol",
  "state": "optimized geometry",
  "lattice_angstrom": [[3.736, 0.000, 0.000], [0.000, 4.387, 0.000], [0.000, 0.000, 7.772]],
  "species": ["K", "Tl", "Pb", "Pb"],
  "fractional_positions": [[0.000, 0.000, 0.000], [0.500, 0.500, 0.717], [0.000, 0.000, 0.501], [0.500, 0.500, 0.298]],
  "density_g_cm3": 8.58,
  "n_ef_per_ev_fu": 1.7
}

Run R
{
  "formula": "KTlPb2",
  "functional": "GGA-PBEsol",
  "state": "optimized geometry",
  "lattice_angstrom": [[0.000, 3.949, 3.949], [3.949, 0.000, 3.949], [3.949, 3.949, 0.000]],
  "species": ["K", "Tl", "Pb", "Pb"],
  "fractional_positions": [[0.000, 0.000, 0.000], [0.750, 0.750, 0.750], [0.250, 0.250, 0.250], [0.500, 0.500, 0.500]],
  "density_g_cm3": 8.87,
  "n_ef_per_ev_fu": 1.0
}

Most stable structure: run Q

Run P
{
  "formula": "KTlPb2",
  "functional": "GGA-PBEsol",
  "state": "optimized geometry",
  "lattice_angstrom": [[5.481, -1.734, 0.000], [5.481, 1.734, 0.000], [-0.875, 0.000, 6.627]],
  "species": ["K", "Tl", "Pb", "Pb"],
  "fractional_positions": [[0.000, 0.000, 0.000], [0.753, 0.753, 0.275], [0.244, 0.244, 0.706], [0.498, 0.498, 0.498]],
  "density_g_cm3": 8.67,
  "n_ef_per_ev_fu": 1.9
}

Run Q
{
  "formula": "KTlPb2",
  "functional": "GGA-PBEsol",
  "state": "optimized geometry",
  "lattice_angstrom": [[-2.436, 2.436, 5.105], [2.436, -2.436, 5.105], [2.436, 2.436, -5.105]],
  "species": ["K", "Tl", "Pb", "Pb"],
  "fractional_positions": [[0.000, 0.000, 0.000], [0.500, 0.500, 0.000], [0.250, 0.750, 0.500], [0.750, 0.250, 0.500]],
  "density_g_cm3": 9.01,
  "n_ef_per_ev_fu": 2.2
}

Most stable structure: run P

Run P
{
  "formula": "KTlPb2",
  "functional": "GGA-PBEsol",
  "state": "optimized geometry",
  "lattice_angstrom": [[4.047, 0.000, 0.000], [0.000, 4.047, 0.000], [0.000, 0.000, 7.950]],
  "species": ["K", "Tl", "Pb", "Pb"],
  "fractional_positions": [[0.000, 0.000, 0.000], [0.500, 0.500, 0.714], [0.000, 0.000, 0.501], [0.500, 0.500, 0.302]],
  "density_g_cm3": 8.39,
  "n_ef_per_ev_fu": 2.3
}

Run Q
{
  "formula": "KTlPb2",
  "functional": "GGA-PBEsol",
  "state": "optimized geometry",
  "lattice_angstrom": [[5.547, -1.729, 0.000], [5.547, 1.729, 0.000], [-0.767, 0.000, 6.677]],
  "species": ["K", "Tl", "Pb", "Pb"],
  "fractional_positions": [[0.000, 0.000, 0.000], [0.500, 0.500, 0.500], [0.247, 0.247, 0.702], [0.753, 0.753, 0.298]],
  "density_g_cm3": 8.53,
  "n_ef_per_ev_fu": 1.7
}

Most stable structure: run P